A geometry-optimized TaIrRh structure, computed with GGA-PBE.

Results
Symmetry   No. 156
ρ   16.84 Mg/m³
M_tot   0.000 μB/f.u.
Formation enthalpy at 0 K   -0.2385 eV/atom

a = 2.819 Å, b = 2.819 Å, c = 6.822 Å
α = 90.00°, β = 90.00°, γ = 120.00°
Fractional positions:
1 Ta 0.333 0.667 0.667
2 Ir 0.000 0.000 0.992
3 Rh 0.667 0.333 0.341